## i
Here is crystalline Zr3NbSb at its relaxed geometry from Alexandria. Energies are from PBE.

## Properties
- spin magnetization (μB per formula unit) = 0.0

Cell: 5.2078 5.2078 5.2078 Å, 90.00 90.00 90.00°
Space group Pm-3m (No. 221)
Symmetry-distinct sites (fractional):
Zr 0.0000 0.0000 0.5000
Nb 0.5000 0.5000 0.5000
Sb 0.0000 0.0000 0.0000

## ii
Here is crystalline Zr3NbSb at its relaxed geometry from Alexandria. Energies are from PBE.

## Properties
- spin magnetization (μB per formula unit) = 0.0

Cell: 5.0904 5.0904 5.0904 Å, 90.00 90.00 90.00°
Space group Pm-3m (No. 221)
Symmetry-distinct sites (fractional):
Zr 0.0000 0.0000 0.5000
Nb 0.0000 0.0000 0.0000
Sb 0.5000 0.5000 0.5000

## iii
Here is crystalline Zr3NbSb at its relaxed geometry from Alexandria. Energies are from PBE.

## Properties
- spin magnetization (μB per formula unit) = 0.0

Cell: 16.4578 3.6592 7.4097 Å, 90.00 103.08 90.00°
Space group C2/m (No. 12)
Symmetry-distinct sites (fractional):
Zr 0.0981 0.0000 0.0407
Zr 0.0982 0.0000 0.5567
Zr 0.2037 0.5000 0.3383
Nb 0.2003 0.5000 0.8639
Sb 0.0034 0.5000 0.2523

Most stable: iii